[1]
Density functional theory data (PBE-GGA) for crystalline Ba6In3Hg at its relaxed geometry.

Summary:
- Final energy: -0.0865 Ha/atom
- Spin magnetization: 0.00 μB per formula unit
- Space group: P2_1/m (11)
- Formation energy from the elements: -33.6 kJ/mol of atoms
- V: 41.39 A^3/atom

a b c (Å): 6.0491 10.5322 13.9666
angles (deg): 111.53 90.00 90.00
With the nearest neighbours (Å) after each atom.
Fractional positions:
Ba: 0.2500 0.2536 0.5054  4 In 3.64-4.00, 3 Hg 3.72-3.73, 1 Ba 4.07
Ba: 0.2500 0.4769 0.0822  6 In 3.51-3.89, 1 Ba 3.90
In: 0.2500 0.5178 0.3606  7 Ba 3.54-3.89, 2 In 3.81
Ba: 0.7500 0.7464 0.4946  4 In 3.64-4.00, 3 Hg 3.72-3.73, 1 Ba 4.07
In: 0.7500 0.4822 0.6394  7 Ba 3.54-3.89, 2 In 3.81
In: 0.2500 0.7618 0.9673  1 In 3.54, 8 Ba 3.75-3.89
Ba: 0.2500 0.1311 0.1432  4 In 3.75-4.09, 6 Ba 3.92-4.12
In: 0.7500 0.5754 0.2161  5 Ba 3.51-3.72, 3 In 3.54-3.81
Ba: 0.2500 0.8378 0.3233  3 Hg 3.52-3.63, 1 In 3.59
Ba: 0.7500 0.8689 0.8568  4 In 3.75-4.09, 6 Ba 3.92-4.12
Ba: 0.7500 0.1622 0.6767  3 Hg 3.52-3.63, 1 In 3.59
Hg: 0.7500 0.0399 0.4055  8 Ba 3.46-3.73
Ba: 0.7500 0.3352 0.3402  4 In 3.54-3.89, 1 Hg 3.55
Ba: 0.7500 0.5231 0.9178  6 In 3.51-3.89, 1 Ba 3.90
In: 0.7500 0.2382 0.0327  1 In 3.54, 8 Ba 3.75-3.89
Ba: 0.2500 0.6648 0.6598  4 In 3.54-3.89, 1 Hg 3.55
Ba: 0.2500 0.1206 0.8594  1 Hg 3.46, 3 In 3.72-3.79
Ba: 0.7500 0.8794 0.1406  1 Hg 3.46, 3 In 3.72-3.79
In: 0.2500 0.4246 0.7839  5 Ba 3.51-3.72, 3 In 3.54-3.81
Hg: 0.2500 0.9601 0.5945  8 Ba 3.46-3.73

---

[2]
Density functional theory data (PBE-GGA) for crystalline La4CuBr5 at its relaxed geometry.

Summary:
- Final energy: -0.1675 Ha/atom
- Energy relative to the elements, uncorrected: -1.341 eV per atom
- Spin magnetization: 0.00 μB per formula unit
- Space group: C2/m (12)
- V: 34.00 A^3/atom
- Polymorph energy (0 for the lowest one): 3.5 kJ/mol of atoms

a b c (Å): 4.1558 7.7036 10.9969
angles (deg): 100.23 100.89 90.00
With the nearest neighbours (Å) after each atom.
Fractional positions:
Br: 0.1800 0.0945 0.3600  3 La 3.04-3.05
La: 0.9407 0.1795 0.8814  2 Cu 2.92, 2 Br 3.04-3.14
Br: 0.8381 0.4217 0.6763  3 La 3.10-3.14
La: 0.3863 0.7137 0.7726  1 Cu 2.99, 5 Br 3.05-3.19
La: 0.6137 0.2863 0.2274  1 Cu 2.99, 5 Br 3.05-3.19
Br: 0.1619 0.5783 0.3237  3 La 3.10-3.14
Br: 0.8200 0.9055 0.6400  3 La 3.04-3.05
Br: 0.5000 0.5000 0.0000  6 La 3.19-3.30
La: 0.0593 0.8205 0.1186  2 Cu 2.92, 2 Br 3.04-3.14
Cu: 0.5000 0.0000 0.0000  6 La 2.92-2.99

---

[3]
Density functional theory data (PBE-GGA) for crystalline MgBPd3 at its relaxed geometry.

Summary:
- Final energy: -0.1775 Ha/atom
- Spin magnetization: 0.00 μB per formula unit
- Space group: P6_3/mmc (194)
- Formation energy from the elements: -5.7 kJ/mol of atoms
- V: 16.56 A^3/atom
- Polymorph energy (0 for the lowest one): 41.1 kJ/mol of atoms

a b c (Å): 3.5660 3.5660 15.0336
angles (deg): 90.00 90.00 120.00
With the nearest neighbours (Å) after each atom.
Fractional positions:
Pd: 0.6667 0.3333 0.3871  1 B 2.06
Pd: 0.3333 0.6667 0.6129  1 B 2.06
Mg: 0.0000 0.0000 0.5000  6 Pd 2.67
Pd: 0.0000 0.0000 0.7500  3 B 2.06
B: 0.6667 0.3333 0.2500  5 Pd 2.06
Pd: 0.3333 0.6667 0.8871  1 B 2.06
Pd: 0.6667 0.3333 0.1129  1 B 2.06
Mg: 0.0000 0.0000 0.0000  6 Pd 2.67
Pd: 0.0000 0.0000 0.2500  3 B 2.06
B: 0.3333 0.6667 0.7500  5 Pd 2.06

---

[4]
Density functional theory data (PBE-GGA) for crystalline Ho7Th2Sc2 at its relaxed geometry.

Summary:
- Final energy: -0.1922 Ha/atom
- Spin magnetization: 0.00 μB per formula unit
- Space group: C2/m (12)
- Formation energy from the elements: 17.7 kJ/mol of atoms
- V: 30.62 A^3/atom
- Polymorph energy (0 for the lowest one): 4.1 kJ/mol of atoms

a b c (Å): 6.0168 7.7827 7.7827
angles (deg): 92.78 74.83 74.83
With the nearest neighbours (Å) after each atom.
Fractional positions:
Th: 0.8011 0.4219 0.4219  2 Th 3.37-3.40, 2 Sc 3.51, 7 Ho 3.51-3.75
Sc: 0.5000 0.2264 0.7736  6 Ho 3.16-3.37, 2 Th 3.51
Ho: 0.1828 0.5846 0.0629  2 Sc 3.16-3.29, 4 Ho 3.17-3.53
Th: 0.1989 0.5781 0.5781  2 Th 3.37-3.40, 2 Sc 3.51, 7 Ho 3.51-3.75
Ho: 0.1828 0.0629 0.5846  2 Sc 3.16-3.29, 4 Ho 3.17-3.53
Ho: 0.8172 0.9371 0.4154  2 Sc 3.16-3.29, 4 Ho 3.17-3.53
Ho: 0.4168 0.2185 0.2185  5 Ho 3.27-3.53, 2 Sc 3.37, 2 Th 3.51-3.58
Ho: 0.5832 0.7815 0.7815  5 Ho 3.27-3.53, 2 Sc 3.37, 2 Th 3.51-3.58
Sc: 0.5000 0.7736 0.2264  6 Ho 3.16-3.37, 2 Th 3.51
Ho: 0.8172 0.4154 0.9371  2 Sc 3.16-3.29, 4 Ho 3.17-3.53
Ho: 0.0000 0.0000 0.0000  6 Ho 3.24-3.40

---

[5]
Density functional theory data (PBE-GGA) for crystalline AlHg2Os at its relaxed geometry.

Summary:
- Final energy: -0.1244 Ha/atom
- Spin magnetization: 0.00 μB per formula unit
- Space group: I-4m2 (119)
- Formation energy from the elements: 49.0 kJ/mol of atoms
- V: 17.66 A^3/atom

a b c (Å): 5.1792 5.1792 5.1792
angles (deg): 134.03 134.03 67.04
With the nearest neighbours (Å) after each atom.
Fractional positions:
Al: 0.7500 0.2500 0.5000  8 Hg 2.86-2.96, 4 Os 2.96
Os: 0.5000 0.5000 0.0000  8 Hg 2.86-2.96, 4 Al 2.96
Hg: 0.2500 0.7500 0.5000  4 Al 2.86, 4 Hg 2.96, 4 Os 2.96
Hg: 0.0000 0.0000 0.0000  4 Os 2.86, 4 Hg 2.96, 4 Al 2.96

---

[6]
Density functional theory data (PBE-GGA) for crystalline La2CuGe4Pd3 at its relaxed geometry.

Summary:
- Final energy: -0.2048 Ha/atom
- Spin magnetization: 0.00 μB per formula unit
- Space group: P-4m2 (115)
- Formation energy from the elements: -74.7 kJ/mol of atoms
- V: 19.62 A^3/atom

a b c (Å): 4.3737 4.3737 10.2538
angles (deg): 90.00 90.00 90.00
With the nearest neighbours (Å) after each atom.
Fractional positions:
Pd: 0.0000 0.0000 0.5000  4 Ge 2.55
Ge: 0.5000 0.0000 0.6276  3 Pd 2.51-2.55, 2 Cu 2.55
La: 0.5000 0.0000 0.2534  8 Ge 3.32-3.40, 2 Cu 3.34, 6 Pd 3.34-3.35
Ge: 0.0000 0.5000 0.3724  3 Pd 2.51-2.55, 2 Cu 2.55
Cu: 0.5000 0.5000 0.5000  4 Ge 2.55
Pd: 0.0000 0.5000 0.1280  5 Ge 2.51-2.55
Ge: 0.0000 0.0000 0.0000  4 Pd 2.55
La: 0.0000 0.5000 0.7466  8 Ge 3.32-3.40, 2 Cu 3.34, 6 Pd 3.34-3.35
Pd: 0.5000 0.0000 0.8720  5 Ge 2.51-2.55
Ge: 0.5000 0.5000 0.0000  4 Pd 2.55

---

[7]
Density functional theory data (PBE-GGA) for crystalline KZrAg2 at its relaxed geometry.

Summary:
- Final energy: -0.1303 Ha/atom
- Spin magnetization: 0.00 μB per formula unit
- Space group: C2/m (12)
- Formation energy from the elements: 28.1 kJ/mol of atoms
- V: 24.81 A^3/atom
- Polymorph energy (0 for the lowest one): 16.3 kJ/mol of atoms

a b c (Å): 3.6297 3.6297 10.1707
angles (deg): 85.96 85.96 47.97
With the nearest neighbours (Å) after each atom.
Fractional positions:
Zr: 0.7500 0.7500 0.7500  6 Ag 2.89-3.02, 2 Zr 2.95
Ag: 0.4930 0.4930 0.5327  3 Zr 2.89-3.02, 2 Ag 2.95
Ag: 0.0070 0.0070 0.9673  3 Zr 2.89-3.02, 2 Ag 2.95
K: 0.2500 0.2500 0.2500  2 K 2.95

---

[8]
Density functional theory data (PBE-GGA) for crystalline SbOs2W at its relaxed geometry.

Summary:
- Final energy: -0.3413 Ha/atom
- Energy relative to the elements, uncorrected: 0.597 eV per atom
- Spin magnetization: 0.00 μB per formula unit
- Space group: Imm2 (44)
- V: 16.30 A^3/atom

a b c (Å): 5.3715 5.3715 5.3715
angles (deg): 146.66 129.36 61.99
With the nearest neighbours (Å) after each atom.
Fractional positions:
W: 0.7381 0.2381 0.5000  2 Sb 2.71, 6 Os 2.78-2.83
Sb: 0.4966 0.4966 0.0000  6 Os 2.60-2.77, 2 W 2.71
Os: 0.2692 0.7692 0.5000  2 Sb 2.60, 4 W 2.78
Os: 0.9961 0.9961 0.0000  4 Sb 2.77, 2 W 2.83, 4 Os 2.95-3.08

---

[9]
Density functional theory data (PBE-GGA) for crystalline CaAc2Pt2I2 at its relaxed geometry.

Summary:
- Final energy: -0.1704 Ha/atom
- Energy relative to the elements, uncorrected: -1.009 eV per atom
- Spin magnetization: 0.00 μB per formula unit
- Space group: I4/mmm (139)
- V: 34.84 A^3/atom

a b c (Å): 5.3034 5.3034 9.4480
angles (deg): 106.30 106.30 90.00
With the nearest neighbours (Å) after each atom.
Fractional positions:
Ca: 0.0000 0.0000 0.0000  4 Pt 2.65
Ac: 0.6067 0.6067 0.2134  4 Pt 3.23, 1 I 3.51
I: 0.8093 0.8093 0.6187  1 Ca 3.31, 1 Ac 3.51
Pt: 0.0000 0.5000 0.0000  2 Ca 2.65
Pt: 0.5000 0.0000 0.0000  2 Ca 2.65
Ac: 0.3933 0.3933 0.7866  4 Pt 3.23, 1 I 3.51
I: 0.1907 0.1907 0.3813  1 Ca 3.31, 1 Ac 3.51